LiMnTc2: optimized geometry, PBE.

a = 2.5712 Å, b = 4.1683 Å, c = 5.0805 Å
α = 90.00°, β = 101.80°, γ = 90.00°
Space group P2/m (No. 10)
One atom of each set of equivalent atoms:
1 Li 0.0000 0.0000 0.0000 (multiplicity 1)
2 Mn 0.5000 0.0000 0.5000 (multiplicity 1)
3 Tc 0.2579 0.5000 0.7544 (multiplicity 2)

Polymorph energy (0 for the lowest one)   0.0026 eV/atom
Magnetization   1.9 μB/f.u.
E   -7.760 eV per atom
Formation enthalpy at 0 K   0.19 eV per atom